Entry 1:
Ac12YGe7 | PBE | relaxed

POSCAR file:
```
Ac12YGe7
1.0
7.984 4.610 3.613
-7.984 4.610 3.613
0.000 -9.219 3.613
Ac Y Ge
12 1 7
direct
0.041 0.348 0.122
0.122 0.041 0.348
0.190 0.726 0.575
0.274 0.425 0.810
0.348 0.122 0.041
0.425 0.810 0.274
0.575 0.190 0.726
0.652 0.878 0.959
0.726 0.575 0.190
0.810 0.274 0.425
0.878 0.959 0.652
0.959 0.652 0.878
0.500 0.500 0.500
0.000 0.000 0.000
0.161 0.387 0.465
0.387 0.465 0.161
0.465 0.161 0.387
0.535 0.839 0.613
0.613 0.535 0.839
0.839 0.613 0.535
```

Values from the calculation:
DFT formation energy	-412	meV per atom
total DFT energy (no corrections)	-4.82	eV per atom
total moment	0.00	μB per atom

=====

Entry 2:
AcYGe2 | PBE | relaxed

POSCAR file:
```
AcYGe2
1.0
5.539 0.000 0.000
0.000 5.539 0.000
0.000 0.000 3.449
Ac Y Ge
1 1 2
direct
0.000 0.000 0.000
0.500 0.500 0.000
0.000 0.500 0.500
0.500 0.000 0.500
```

Values from the calculation:
DFT formation energy	-502	meV per atom
total DFT energy (no corrections)	-5.45	eV per atom
total moment	0.00	μB per atom

=====

Entry 3:
AcYZn2Ge2 | PBE | relaxed

POSCAR file:
```
AcYZn2Ge2
1.0
4.269 0.000 0.000
-2.135 3.697 0.000
0.000 0.000 8.691
Ac Y Zn Ge
1 1 2 2
direct
0.000 0.000 0.000
0.000 0.000 0.500
0.333 0.667 0.734
0.667 0.333 0.266
0.333 0.667 0.276
0.667 0.333 0.724
```

Values from the calculation:
DFT formation energy	-633	meV per atom
total DFT energy (no corrections)	-4.36	eV per atom
total moment	0.00	μB per atom

=====

Entry 4:
AcYZnGe | PBE | relaxed

POSCAR file:
```
AcYZnGe
1.0
7.480 0.000 0.000
0.000 7.480 0.000
0.000 0.000 7.480
Ac Y Zn Ge
4 4 4 4
direct
0.000 0.000 0.000
0.000 0.500 0.500
0.500 0.000 0.500
0.500 0.500 0.000
0.000 0.000 0.500
0.000 0.500 0.000
0.500 0.000 0.000
0.500 0.500 0.500
0.250 0.250 0.750
0.250 0.750 0.250
0.750 0.250 0.250
0.750 0.750 0.750
0.250 0.250 0.250
0.250 0.750 0.750
0.750 0.250 0.750
0.750 0.750 0.250
```

Values from the calculation:
DFT formation energy	-440	meV per atom
total DFT energy (no corrections)	-4.56	eV per atom
total moment	0.00	μB per atom

=====

Entry 5:
Ac3ZnGe2 | PBE | relaxed

POSCAR file:
```
Ac3ZnGe2
1.0
12.705 0.000 0.000
0.000 4.511 0.000
0.000 0.000 12.763
Ac Zn Ge
12 4 8
direct
0.065 0.250 0.116
0.119 0.750 0.559
0.198 0.250 0.798
0.302 0.750 0.298
0.381 0.250 0.059
0.435 0.750 0.616
0.565 0.250 0.384
0.619 0.750 0.941
0.698 0.250 0.702
0.802 0.750 0.202
0.881 0.250 0.441
0.935 0.750 0.884
0.137 0.250 0.358
0.363 0.750 0.858
0.637 0.250 0.142
0.863 0.750 0.642
0.032 0.750 0.316
0.198 0.750 0.990
0.302 0.250 0.490
0.468 0.250 0.816
0.532 0.750 0.184
0.698 0.750 0.510
0.802 0.250 0.010
0.968 0.250 0.684
```

Values from the calculation:
E above lowest polymorph	0	meV per atom
DFT formation energy	-578	meV per atom
total DFT energy (no corrections)	-4.38	eV per atom
total moment	0.10	μB per atom

=====

Entry 6:
Ac5Zn2Ge5 | PBE | relaxed

POSCAR file:
```
Ac5Zn2Ge5
1.0
8.037 -2.197 0.000
8.037 2.197 0.000
-7.566 0.000 9.579
Ac Zn Ge
5 2 5
direct
0.000 0.000 0.000
0.318 0.318 0.419
0.375 0.375 0.178
0.625 0.625 0.822
0.682 0.682 0.581
0.384 0.384 0.742
0.616 0.616 0.258
0.000 0.000 0.500
0.073 0.073 0.326
0.301 0.301 0.866
0.699 0.699 0.134
0.927 0.927 0.674
```

Values from the calculation:
DFT formation energy	-611	meV per atom
total DFT energy (no corrections)	-4.46	eV per atom
total moment	0.00	μB per atom

=====

Entry 7:
Ac3ZnGe2 | PBE | relaxed

POSCAR file:
```
Ac3ZnGe2
1.0
7.207 -3.283 0.000
7.207 3.283 0.000
-2.491 0.000 8.595
Ac Zn Ge
6 2 4
direct
0.089 0.911 0.750
0.303 0.334 0.912
0.334 0.303 0.412
0.666 0.697 0.588
0.697 0.666 0.088
0.911 0.089 0.250
0.393 0.607 0.250
0.607 0.393 0.750
0.129 0.189 0.585
0.189 0.129 0.085
0.811 0.871 0.915
0.871 0.811 0.415
```

Values from the calculation:
E above lowest polymorph	164	meV per atom
DFT formation energy	-414	meV per atom
total DFT energy (no corrections)	-4.22	eV per atom
total moment	0.00	μB per atom

=====

Entry 8:
Ac4ZnGe2 | PBE | relaxed

POSCAR file:
```
Ac4ZnGe2
1.0
2.297 1.326 14.366
-2.297 1.326 14.366
0.000 -2.652 14.366
Ac Zn Ge
4 1 2
direct
0.119 0.119 0.119
0.294 0.294 0.294
0.706 0.706 0.706
0.881 0.881 0.881
0.500 0.500 0.500
0.411 0.411 0.411
0.589 0.589 0.589
```

Values from the calculation:
DFT formation energy	-389	meV per atom
total DFT energy (no corrections)	-4.24	eV per atom
total moment	0.23	μB per atom

=====

Entry 9:
Ac4ZnGe3 | PBE | relaxed

POSCAR file:
```
Ac4ZnGe3
1.0
4.320 0.000 0.000
0.000 4.712 0.000
0.000 0.000 11.932
Ac Zn Ge
4 1 3
direct
0.000 0.000 0.000
0.000 0.500 0.499
0.500 0.000 0.280
0.500 0.500 0.781
0.500 0.000 0.575
0.000 0.000 0.711
0.000 0.500 0.210
0.500 0.500 0.067
```

Values from the calculation:
DFT formation energy	-602	meV per atom
total DFT energy (no corrections)	-4.55	eV per atom
total moment	0.05	μB per atom

=====

Entry 10:
Ac3Zn9Ge2 | PBE | relaxed

POSCAR file:
```
Ac3Zn9Ge2
1.0
-2.313 4.918 6.636
2.313 -4.918 6.636
2.313 4.918 -6.636
Ac Zn Ge
3 9 2
direct
0.000 0.000 0.000
0.313 0.313 0.000
0.687 0.687 0.000
0.029 0.662 0.367
0.128 0.856 0.272
0.296 0.662 0.633
0.416 0.144 0.272
0.500 0.000 0.500
0.584 0.856 0.728
0.704 0.338 0.367
0.872 0.144 0.728
0.971 0.338 0.633
0.280 0.500 0.780
0.720 0.500 0.220
```

Values from the calculation:
DFT formation energy	-297	meV per atom
total DFT energy (no corrections)	-2.66	eV per atom
total moment	0.00	μB per atom

=====

Entry 11:
Ac3Zn2Ge4 | PBE | relaxed

POSCAR file:
```
Ac3Zn2Ge4
1.0
6.017 -2.217 0.000
6.017 2.217 0.000
-3.104 0.000 8.492
Ac Zn Ge
3 2 4
direct
0.000 0.000 0.000
0.379 0.379 0.316
0.621 0.621 0.684
0.317 0.317 0.668
0.683 0.683 0.332
0.106 0.106 0.396
0.282 0.282 0.944
0.718 0.718 0.056
0.894 0.894 0.604
```

Values from the calculation:
DFT formation energy	-594	meV per atom
total DFT energy (no corrections)	-4.30	eV per atom
total moment	0.00	μB per atom

=====

Entry 12:
AcZn6Ge2 | PBE | relaxed

POSCAR file:
```
AcZn6Ge2
1.0
4.200 0.000 0.000
0.000 4.200 0.000
0.000 0.000 9.467
Ac Zn Ge
1 6 2
direct
0.000 0.000 0.000
0.000 0.000 0.500
0.000 0.500 0.315
0.000 0.500 0.685
0.500 0.000 0.315
0.500 0.000 0.685
0.500 0.500 0.500
0.500 0.500 0.149
0.500 0.500 0.851
```

Values from the calculation:
DFT formation energy	-202	meV per atom
total DFT energy (no corrections)	-2.53	eV per atom
total moment	0.00	μB per atom

=====

Entry 13:
Ac3Zn3Ge2 | PBE | relaxed

POSCAR file:
```
Ac3Zn3Ge2
1.0
2.185 -6.035 0.000
2.185 6.035 0.000
0.000 0.000 16.436
Ac Zn Ge
6 6 4
direct
0.058 0.942 0.750
0.351 0.649 0.592
0.351 0.649 0.908
0.649 0.351 0.092
0.649 0.351 0.408
0.942 0.058 0.250
0.073 0.927 0.552
0.073 0.927 0.948
0.218 0.782 0.250
0.782 0.218 0.750
0.927 0.073 0.052
0.927 0.073 0.448
0.353 0.647 0.116
0.353 0.647 0.384
0.647 0.353 0.616
0.647 0.353 0.884
```

Values from the calculation:
DFT formation energy	-518	meV per atom
total DFT energy (no corrections)	-3.69	eV per atom
total moment	0.00	μB per atom

=====

Entry 14:
Ac2ZnGe7 | PBE | relaxed

POSCAR file:
```
Ac2ZnGe7
1.0
4.728 0.000 0.000
0.000 4.728 0.000
0.000 0.000 10.424
Ac Zn Ge
2 1 7
direct
0.000 0.500 0.245
0.500 0.000 0.755
0.500 0.500 0.000
0.000 0.000 0.000
0.000 0.000 0.500
0.000 0.500 0.624
0.000 0.500 0.888
0.500 0.000 0.112
0.500 0.000 0.376
0.500 0.500 0.500
```

Values from the calculation:
DFT formation energy	-270	meV per atom
total DFT energy (no corrections)	-4.45	eV per atom
total moment	0.00	μB per atom

=====

Entry 15:
AcZn2Ge3 | PBE | relaxed

POSCAR file:
```
AcZn2Ge3
1.0
-2.266 2.266 12.568
2.266 -2.266 12.568
2.266 2.266 -12.568
Ac Zn Ge
2 4 6
direct
0.145 0.145 0.000
0.855 0.855 0.000
0.250 0.750 0.500
0.404 0.404 0.000
0.596 0.596 0.000
0.750 0.250 0.500
0.049 0.549 0.500
0.305 0.305 0.000
0.451 0.951 0.500
0.549 0.049 0.500
0.695 0.695 0.000
0.951 0.451 0.500
```

Values from the calculation:
DFT formation energy	-299	meV per atom
total DFT energy (no corrections)	-3.72	eV per atom
total moment	0.00	μB per atom

=====

Entry 16:
AcZn2Ge | PBE | relaxed

POSCAR file:
```
AcZn2Ge
1.0
2.177 -9.372 0.000
2.177 9.372 0.000
0.000 0.000 9.021
Ac Zn Ge
4 8 4
direct
0.000 0.000 0.000
0.000 0.000 0.500
0.214 0.786 0.750
0.786 0.214 0.250
0.169 0.831 0.116
0.169 0.831 0.384
0.423 0.577 0.750
0.437 0.563 0.250
0.563 0.437 0.750
0.577 0.423 0.250
0.831 0.169 0.616
0.831 0.169 0.884
0.359 0.641 0.016
0.359 0.641 0.484
0.641 0.359 0.516
0.641 0.359 0.984
```

Values from the calculation:
E above lowest polymorph	0	meV per atom
DFT formation energy	-450	meV per atom
total DFT energy (no corrections)	-3.27	eV per atom
total moment	0.00	μB per atom

=====

Entry 17:
Ac2Zn2Ge3 | PBE | relaxed

POSCAR file:
```
Ac2Zn2Ge3
1.0
2.293 -10.144 0.000
2.293 10.144 0.000
0.000 0.000 7.254
Ac Zn Ge
4 4 6
direct
0.046 0.954 0.750
0.166 0.834 0.250
0.834 0.166 0.750
0.954 0.046 0.250
0.320 0.680 0.069
0.320 0.680 0.431
0.680 0.320 0.569
0.680 0.320 0.931
0.213 0.787 0.750
0.436 0.564 0.574
0.436 0.564 0.926
0.564 0.436 0.074
0.564 0.436 0.426
0.787 0.213 0.250
```

Values from the calculation:
E above lowest polymorph	0	meV per atom
DFT formation energy	-502	meV per atom
total DFT energy (no corrections)	-4.02	eV per atom
total moment	0.00	μB per atom

=====

Entry 18:
Ac5Zn2Ge2 | PBE | relaxed

POSCAR file:
```
Ac5Zn2Ge2
1.0
8.493 -4.156 0.000
8.493 4.156 0.000
0.000 0.000 8.415
Ac Zn Ge
10 4 4
direct
0.000 0.000 0.000
0.025 0.681 0.668
0.181 0.525 0.168
0.319 0.975 0.668
0.475 0.819 0.168
0.500 0.500 0.500
0.525 0.181 0.832
0.681 0.025 0.332
0.819 0.475 0.832
0.975 0.319 0.332
0.114 0.886 0.386
0.386 0.614 0.886
0.614 0.386 0.114
0.886 0.114 0.614
0.201 0.201 0.000
0.299 0.299 0.500
0.701 0.701 0.500
0.799 0.799 0.000
```

Values from the calculation:
DFT formation energy	-419	meV per atom
total DFT energy (no corrections)	-4.01	eV per atom
total moment	0.00	μB per atom

=====

Entry 19:
Ac3Zn3Ge | PBE | relaxed

POSCAR file:
```
Ac3Zn3Ge
1.0
4.408 0.000 0.000
0.000 4.467 0.000
0.000 0.000 20.499
Ac Zn Ge
6 6 2
direct
0.000 0.000 0.000
0.000 0.000 0.368
0.000 0.500 0.677
0.500 0.000 0.177
0.500 0.500 0.500
0.500 0.500 0.868
0.000 0.000 0.547
0.000 0.000 0.815
0.000 0.500 0.246
0.500 0.000 0.746
0.500 0.500 0.047
0.500 0.500 0.315
0.000 0.500 0.121
0.500 0.000 0.621
```

Values from the calculation:
DFT formation energy	-380	meV per atom
total DFT energy (no corrections)	-3.35	eV per atom
total moment	0.00	μB per atom

=====

Entry 20:
AcZnGe2 | PBE | relaxed

POSCAR file:
```
AcZnGe2
1.0
3.672 0.000 0.000
0.000 3.672 0.000
0.000 0.000 6.835
Ac Zn Ge
1 1 2
direct
0.000 0.000 0.000
0.000 0.000 0.500
0.500 0.500 0.314
0.500 0.500 0.686
```

Values from the calculation:
E above lowest polymorph	211	meV per atom
DFT formation energy	-186	meV per atom
total DFT energy (no corrections)	-3.84	eV per atom
total moment	0.00	μB per atom

=====

Entry 21:
AcZn2Ge | PBE | relaxed

POSCAR file:
```
AcZn2Ge
1.0
4.573 0.000 0.000
0.000 4.559 0.000
-0.041 0.000 4.919
Ac Zn Ge
1 2 1
direct
0.000 0.000 0.000
0.480 0.500 0.753
0.520 0.500 0.247
0.500 0.000 0.500
```

Values from the calculation:
E above lowest polymorph	181	meV per atom
DFT formation energy	-269	meV per atom
total DFT energy (no corrections)	-3.09	eV per atom
total moment	0.00	μB per atom